[1]
ScCdAu: optimized geometry, PBE-GGA.

Properties
**DFT formation energy**: -1.8 eV per formula unit
**DFT total energy**: -24.6 eV for the cell shown
**Space-group type**: P6_3/mmc

POSCAR file:
```
ScCdAu
1.0
4.876 0.000 0.000
-2.438 4.223 0.000
0.000 0.000 5.859
Sc Cd Au
2 2 2
direct
0.333 0.667 0.250
0.667 0.333 0.750
0.000 0.000 0.000
0.000 0.000 0.500
0.333 0.667 0.750
0.667 0.333 0.250
```

[2]
ScCdAu: optimized geometry, PBE-GGA.

Properties
**DFT formation energy**: -1.4 eV per formula unit
**DFT total energy**: -11.9 eV for the cell shown
**Space-group type**: P-6m2

POSCAR file:
```
ScCdAu
1.0
4.741 0.000 0.000
-2.370 4.105 0.000
0.000 0.000 3.147
Sc Cd Au
1 1 1
direct
0.000 0.000 0.000
0.333 0.667 0.500
0.667 0.333 0.500
```

[3]
ScCdAu: optimized geometry, PBE-GGA.

Properties
**DFT formation energy**: -0.9 eV per formula unit
**DFT total energy**: -11.5 eV for the cell shown
**Space-group type**: P3m1

POSCAR file:
```
ScCdAu
1.0
3.459 0.000 0.000
-1.729 2.996 0.000
0.000 0.000 6.459
Sc Cd Au
1 1 1
direct
0.000 0.000 0.000
0.667 0.333 0.634
0.333 0.667 0.295
```

[4]
ScCd4Au: optimized geometry, PBE-GGA.

Properties
**DFT formation energy**: 0.0 eV per formula unit
**DFT total energy**: -13.2 eV for the cell shown
**Space-group type**: F-43m

POSCAR file:
```
ScCd4Au
1.0
0.000 4.023 4.023
4.023 0.000 4.023
4.023 4.023 0.000
Sc Cd Au
1 4 1
direct
0.000 0.000 0.000
0.375 0.375 0.375
0.375 0.375 0.875
0.375 0.875 0.375
0.875 0.375 0.375
0.750 0.750 0.750
```

[5]
Sc2Cd2Au: optimized geometry, PBE-GGA.

Properties
**DFT formation energy**: -0.7 eV per formula unit
**DFT total energy**: -36.9 eV for the cell shown
**Space-group type**: P4/mbm

POSCAR file:
```
Sc2Cd2Au
1.0
7.298 0.000 0.000
0.000 7.298 0.000
0.000 0.000 4.460
Sc Cd Au
4 4 2
direct
0.154 0.346 0.000
0.346 0.846 0.000
0.654 0.154 0.000
0.846 0.654 0.000
0.146 0.646 0.500
0.354 0.146 0.500
0.646 0.854 0.500
0.854 0.354 0.500
0.000 0.000 0.000
0.500 0.500 0.000
```

[6]
ScCd2Au: optimized geometry, PBE-GGA.

Properties
**DFT formation energy**: -0.5 eV per formula unit
**DFT total energy**: -11.9 eV for the cell shown
**Space-group type**: R-3m

POSCAR file:
```
ScCd2Au
1.0
1.642 0.948 9.312
-1.642 0.948 9.312
0.000 -1.896 9.312
Sc Cd Au
1 2 1
direct
0.000 0.000 0.000
0.246 0.246 0.246
0.754 0.754 0.754
0.500 0.500 0.500
```

[7]
Sc2Cd2Au: optimized geometry, PBE-GGA.

Properties
**DFT formation energy**: -1.4 eV per formula unit
**DFT total energy**: -38.3 eV for the cell shown
**Space-group type**: Ibam

POSCAR file:
```
Sc2Cd2Au
1.0
-3.075 6.686 2.696
3.075 -6.686 2.696
3.075 6.686 -2.696
Sc Cd Au
4 4 2
direct
0.176 0.165 0.341
0.324 0.665 0.989
0.676 0.335 0.011
0.824 0.835 0.659
0.100 0.634 0.735
0.400 0.134 0.534
0.600 0.866 0.466
0.900 0.366 0.265
0.250 0.250 0.000
0.750 0.750 0.000
```

[8]
ScCd2Au: optimized geometry, PBE-GGA.

Properties
**DFT formation energy**: -1.6 eV per formula unit
**DFT total energy**: -13.1 eV for the cell shown
**Space-group type**: F-43m

POSCAR file:
```
ScCd2Au
1.0
0.000 3.424 3.424
3.424 0.000 3.424
3.424 3.424 0.000
Sc Cd Au
1 2 1
direct
0.000 0.000 0.000
0.250 0.250 0.250
0.500 0.500 0.500
0.750 0.750 0.750
```

[9]
Sc2CdAu: optimized geometry, PBE-GGA.

Properties
**DFT formation energy**: -0.6 eV per formula unit
**DFT total energy**: -34.9 eV for the cell shown
**Space-group type**: I-42d

POSCAR file:
```
Sc2CdAu
1.0
-3.857 3.857 3.158
3.857 -3.857 3.158
3.857 3.857 -3.158
Sc Cd Au
4 2 2
direct
0.094 0.125 0.469
0.375 0.906 0.031
0.656 0.625 0.531
0.875 0.344 0.969
0.250 0.750 0.500
0.500 0.500 0.000
0.000 0.000 0.000
0.750 0.250 0.500
```

[10]
Sc2CdAu: optimized geometry, PBE-GGA.

Properties
**DFT formation energy**: -1.5 eV per formula unit
**DFT total energy**: -18.4 eV for the cell shown
**Space-group type**: I-4m2

POSCAR file:
```
Sc2CdAu
1.0
-2.109 2.109 4.624
2.109 -2.109 4.624
2.109 2.109 -4.624
Sc Cd Au
2 1 1
direct
0.000 0.000 0.000
0.750 0.250 0.500
0.500 0.500 0.000
0.250 0.750 0.500
```

[11]
Sc11Cd9Au4: optimized geometry, PBE-GGA.

Properties
**DFT formation energy**: -11.3 eV per formula unit
**DFT total energy**: -102.3 eV for the cell shown
**Space-group type**: Cmmm

POSCAR file:
```
Sc11Cd9Au4
1.0
7.089 -10.618 0.000
7.089 10.618 0.000
0.000 0.000 3.422
Sc Cd Au
11 9 4
direct
0.000 0.000 0.000
0.068 0.414 0.000
0.161 0.839 0.000
0.293 0.293 0.000
0.364 0.636 0.000
0.414 0.068 0.000
0.586 0.932 0.000
0.636 0.364 0.000
0.707 0.707 0.000
0.839 0.161 0.000
0.932 0.586 0.000
0.063 0.211 0.500
0.151 0.635 0.500
0.211 0.063 0.500
0.365 0.849 0.500
0.500 0.500 0.500
0.635 0.151 0.500
0.789 0.937 0.500
0.849 0.365 0.500
0.937 0.789 0.500
0.250 0.450 0.500
0.450 0.250 0.500
0.550 0.750 0.500
0.750 0.550 0.500
```

[12]
ScCd2Au: optimized geometry, PBE-GGA.

Properties
**DFT formation energy**: -1.0 eV per formula unit
**DFT total energy**: -12.4 eV for the cell shown
**Space-group type**: P4/mmm

POSCAR file:
```
ScCd2Au
1.0
3.369 0.000 0.000
0.000 3.369 0.000
0.000 0.000 7.312
Sc Cd Au
1 2 1
direct
0.000 0.000 0.000
0.500 0.500 0.268
0.500 0.500 0.732
0.000 0.000 0.500
```